[1]
Here is crystalline Cr2ReSi at its relaxed geometry from Alexandria. Energies are from GGA-PBE.

a = 3.0051 Å, b = 3.9924 Å, c = 4.2799 Å
α = 90.00°, β = 90.00°, γ = 90.00°
With the nearest neighbours (Å) after each atom.
Space group Pmmm (No. 47)
Inequivalent atoms, fractional coordinates:
Cr1 0.0000 0.0000 0.0000 (multiplicity 1)  4 Cr 2.50, 4 Si 2.61
Cr2 0.5000 0.5000 0.0000 (multiplicity 1)  4 Cr 2.50, 4 Re 2.61
Re1 0.0000 0.5000 0.5000 (multiplicity 1)  4 Si 2.50, 4 Cr 2.61
Si1 0.5000 0.0000 0.5000 (multiplicity 1)  4 Re 2.50, 4 Cr 2.61

## Properties
Uncorrected formation energy   -0.0841 eV per atom
Density   10.29 g/cm³
D(E_F)   2.9 states/eV/f.u.
M_tot   0.207 μB per atom



[2]
Here is crystalline CrReSi2 at its relaxed geometry from Alexandria. Energies are from GGA-PBE.

a = 2.9440 Å, b = 2.9440 Å, c = 5.8274 Å
α = 90.00°, β = 90.00°, γ = 90.00°
With the nearest neighbours (Å) after each atom.
Space group P4/mmm (No. 123)
Inequivalent atoms, fractional coordinates:
Cr1 0.0000 0.0000 0.0000 (multiplicity 1)  8 Si 2.50
Re1 0.0000 0.0000 0.5000 (multiplicity 1)  8 Si 2.59
Si1 0.5000 0.5000 0.2361 (multiplicity 2)  4 Cr 2.50, 4 Re 2.59, 1 Si 2.75

## Properties
Uncorrected formation energy   -0.0867 eV per atom
Density   9.68 g/cm³
D(E_F)   4.6 states/eV/f.u.
M_tot   0.001 μB per atom



[3]
Here is crystalline CrReSi2 at its relaxed geometry from Alexandria. Energies are from GGA-PBE.

a = 6.6162 Å, b = 6.6162 Å, c = 5.3996 Å
α = 90.00°, β = 90.00°, γ = 90.00°
With the nearest neighbours (Å) after each atom.
Space group I-42d (No. 122)
Inequivalent atoms, fractional coordinates:
Cr1 0.0000 0.0000 0.0000 (multiplicity 4)  4 Si 2.44, 2 Re 2.70
Re1 0.0000 0.0000 0.5000 (multiplicity 4)  4 Si 2.43, 2 Cr 2.70
Si1 0.2501 0.2500 0.1250 (multiplicity 8)  2 Re 2.43, 2 Cr 2.44, 2 Si 2.70

## Properties
Uncorrected formation energy   0.5137 eV per atom
Density   8.27 g/cm³
D(E_F)   3.8 states/eV/f.u.
M_tot   0.577 μB per atom



[4]
Here is crystalline CrReSi at its relaxed geometry from Alexandria. Energies are from GGA-PBE.

a = 4.0643 Å, b = 4.0643 Å, c = 2.7317 Å
α = 90.00°, β = 90.00°, γ = 120.00°
With the nearest neighbours (Å) after each atom.
Space group P3m1 (No. 156)
Inequivalent atoms, fractional coordinates:
Cr1 0.0000 0.0000 0.0000 (multiplicity 1)  3 Si 2.40, 3 Re 2.56
Re1 0.6667 0.3333 0.3703 (multiplicity 1)  3 Cr 2.56, 6 Si 2.65-2.78, 2 Re 2.73
Si1 0.3333 0.6667 0.8230 (multiplicity 1)  3 Cr 2.40, 3 Re 2.65

## Properties
Uncorrected formation energy   -0.0232 eV per atom
Density   11.32 g/cm³
D(E_F)   3.1 states/eV/f.u.
M_tot   0.000 μB per atom



[5]
Here is crystalline CrReSi2 at its relaxed geometry from Alexandria. Energies are from GGA-PBE.

a = 5.9437 Å, b = 5.9437 Å, c = 5.9437 Å
α = 90.00°, β = 90.00°, γ = 90.00°
With the nearest neighbours (Å) after each atom.
Space group Fm-3m (No. 225)
Inequivalent atoms, fractional coordinates:
Cr1 0.0000 0.0000 0.0000 (multiplicity 4)  8 Si 2.57
Re1 0.0000 0.0000 0.5000 (multiplicity 4)  8 Si 2.57
Si1 0.2500 0.2500 0.2500 (multiplicity 8)  4 Cr 2.57, 4 Re 2.57

## Properties
Uncorrected formation energy   -0.1334 eV per atom
Density   9.31 g/cm³
D(E_F)   2.0 states/eV/f.u.
M_tot   0.657 μB per atom



[6]
Here is crystalline CrReSi2 at its relaxed geometry from Alexandria. Energies are from GGA-PBE.

a = 3.0760 Å, b = 3.0760 Å, c = 5.3805 Å
α = 90.00°, β = 90.00°, γ = 90.00°
With the nearest neighbours (Å) after each atom.
Space group P4mm (No. 99)
Inequivalent atoms, fractional coordinates:
Cr1 0.0000 0.0000 0.0000 (multiplicity 1)  5 Si 2.43-2.49
Re1 0.5000 0.5000 0.3087 (multiplicity 1)  6 Si 2.50-2.75, 4 Cr 2.74
Si1 0.0000 0.0000 0.5373 (multiplicity 1)  1 Cr 2.49, 4 Re 2.50, 4 Si 2.59
Si2 0.5000 0.5000 0.7975 (multiplicity 1)  4 Cr 2.43, 4 Si 2.59, 1 Re 2.63

## Properties
Uncorrected formation energy   -0.3135 eV per atom
Density   9.60 g/cm³
D(E_F)   2.0 states/eV/f.u.
M_tot   0.000 μB per atom



[7]
Here is crystalline CrReSi2 at its relaxed geometry from Alexandria. Energies are from GGA-PBE.

a = 3.6539 Å, b = 3.6539 Å, c = 7.7792 Å
α = 90.00°, β = 90.00°, γ = 90.00°
With the nearest neighbours (Å) after each atom.
Space group I-4m2 (No. 119)
Inequivalent atoms, fractional coordinates:
Cr1 0.0000 0.0000 0.0000 (multiplicity 2)  8 Si 2.58-2.67, 4 Re 2.67
Re1 0.0000 0.5000 0.7500 (multiplicity 2)  8 Si 2.58-2.67, 4 Cr 2.67
Si1 0.0000 0.0000 0.5000 (multiplicity 2)  4 Cr 2.58, 4 Re 2.67, 4 Si 2.67
Si2 0.0000 0.5000 0.2500 (multiplicity 2)  4 Re 2.58, 4 Cr 2.67, 4 Si 2.67

## Properties
Uncorrected formation energy   -0.0244 eV per atom
Density   9.41 g/cm³
D(E_F)   2.6 states/eV/f.u.
M_tot   0.348 μB per atom



[8]
Here is crystalline Cr2ReSi at its relaxed geometry from Alexandria. Energies are from GGA-PBE.

a = 3.0775 Å, b = 4.2299 Å, c = 7.8652 Å
α = 90.00°, β = 90.00°, γ = 90.00°
With the nearest neighbours (Å) after each atom.
Space group Cmmm (No. 65)
Inequivalent atoms, fractional coordinates:
Cr1 0.0000 0.0000 0.2361 (multiplicity 4)  2 Si 2.41, 2 Re 2.58, 4 Cr 2.62
Re1 0.0000 0.5000 0.5000 (multiplicity 2)  4 Cr 2.58, 4 Re 2.62
Si1 0.0000 0.5000 0.0000 (multiplicity 2)  4 Cr 2.41, 4 Si 2.62

## Properties
Uncorrected formation energy   0.0247 eV per atom
Density   10.32 g/cm³
D(E_F)   4.3 states/eV/f.u.
M_tot   0.001 μB per atom



[9]
Here is crystalline CrReSi2 at its relaxed geometry from Alexandria. Energies are from GGA-PBE.

a = 2.9691 Å, b = 4.6842 Å, c = 7.6461 Å
α = 90.00°, β = 90.00°, γ = 90.00°
With the nearest neighbours (Å) after each atom.
Space group Cmmm (No. 65)
Inequivalent atoms, fractional coordinates:
Cr1 0.0000 0.0000 0.0000 (multiplicity 2)  4 Si 2.36
Re1 0.0000 0.0000 0.5000 (multiplicity 2)  4 Si 2.48, 4 Re 2.77
Si1 0.0000 0.5000 0.2397 (multiplicity 4)  2 Cr 2.36, 2 Re 2.48

## Properties
Uncorrected formation energy   0.0790 eV per atom
Density   9.19 g/cm³
D(E_F)   3.5 states/eV/f.u.
M_tot   0.106 μB per atom



[10]
Here is crystalline CrRe2Si2 at its relaxed geometry from Alexandria. Energies are from GGA-PBE.

a = 6.7126 Å, b = 6.7126 Å, c = 3.0199 Å
α = 90.00°, β = 90.00°, γ = 90.00°
With the nearest neighbours (Å) after each atom.
Space group P4/mbm (No. 127)
Inequivalent atoms, fractional coordinates:
Cr1 0.0000 0.0000 0.0000 (multiplicity 2)  4 Si 2.58
Re1 0.1543 0.3457 0.5000 (multiplicity 4)  6 Si 2.45-2.50
Si1 0.1430 0.6430 0.0000 (multiplicity 4)  6 Re 2.45-2.50, 2 Cr 2.58, 1 Si 2.71

## Properties
Uncorrected formation energy   0.0766 eV per atom
Density   11.73 g/cm³
D(E_F)   5.4 states/eV/f.u.
M_tot   0.000 μB per atom



[11]
Here is crystalline CrRe3Si at its relaxed geometry from Alexandria. Energies are from GGA-PBE.

a = 4.4295 Å, b = 4.4295 Å, c = 4.4295 Å
α = 90.00°, β = 90.00°, γ = 90.00°
With the nearest neighbours (Å) after each atom.
Space group Pm-3m (No. 221)
Inequivalent atoms, fractional coordinates:
Cr1 0.0000 0.0000 0.0000 (multiplicity 1)  6 Re 2.21
Re1 0.0000 0.0000 0.5000 (multiplicity 3)  2 Cr 2.21
Si1 0.5000 0.5000 0.5000 (multiplicity 1)  12 Re 3.13

## Properties
Energy relative to the lowest polymorph listed for this composition   352 meV/atom
Uncorrected formation energy   1.7558 eV per atom
Density   12.20 g/cm³
D(E_F)   5.1 states/eV/f.u.
M_tot   0.000 μB per atom



[12]
Here is crystalline Cr3ReSi at its relaxed geometry from Alexandria. Energies are from GGA-PBE.

a = 4.1899 Å, b = 4.1899 Å, c = 4.1899 Å
α = 90.00°, β = 90.00°, γ = 90.00°
With the nearest neighbours (Å) after each atom.
Space group Pm-3m (No. 221)
Inequivalent atoms, fractional coordinates:
Cr1 0.0000 0.0000 0.5000 (multiplicity 3)  2 Si 2.09
Re1 0.5000 0.5000 0.5000 (multiplicity 1)  12 Cr 2.96
Si1 0.0000 0.0000 0.0000 (multiplicity 1)  6 Cr 2.09

## Properties
Energy relative to the lowest polymorph listed for this composition   0 meV/atom
Uncorrected formation energy   1.1304 eV per atom
Density   8.36 g/cm³
D(E_F)   3.9 states/eV/f.u.
M_tot   0.497 μB per atom



[13]
Here is crystalline Cr2ReSi at its relaxed geometry from Alexandria. Energies are from GGA-PBE.

a = 2.9564 Å, b = 2.9564 Å, c = 5.7155 Å
α = 90.00°, β = 90.00°, γ = 90.00°
With the nearest neighbours (Å) after each atom.
Space group P4mm (No. 99)
Inequivalent atoms, fractional coordinates:
Cr1 0.0000 0.0000 0.0000 (multiplicity 1)  4 Cr 2.42, 4 Si 2.51
Cr2 0.5000 0.5000 0.2131 (multiplicity 1)  4 Cr 2.42, 1 Si 2.61, 4 Re 2.67
Re1 0.0000 0.0000 0.5027 (multiplicity 1)  4 Si 2.54, 5 Cr 2.67-2.84
Si1 0.5000 0.5000 0.7557 (multiplicity 1)  5 Cr 2.51-2.61, 4 Re 2.54

## Properties
Uncorrected formation energy   -0.1162 eV per atom
Density   10.58 g/cm³
D(E_F)   3.4 states/eV/f.u.
M_tot   0.001 μB per atom



[14]
Here is crystalline Cr2ReSi at its relaxed geometry from Alexandria. Energies are from GGA-PBE.

a = 3.0233 Å, b = 3.0233 Å, c = 5.5049 Å
α = 90.00°, β = 90.00°, γ = 90.00°
With the nearest neighbours (Å) after each atom.
Space group P4/mmm (No. 123)
Inequivalent atoms, fractional coordinates:
Cr1 0.0000 0.0000 0.2368 (multiplicity 2)  4 Si 2.50, 4 Re 2.58, 1 Cr 2.61
Re1 0.5000 0.5000 0.5000 (multiplicity 1)  8 Cr 2.58, 2 Si 2.75
Si1 0.5000 0.5000 0.0000 (multiplicity 1)  8 Cr 2.50, 2 Re 2.75

## Properties
Uncorrected formation energy   -0.1022 eV per atom
Density   10.50 g/cm³
D(E_F)   3.8 states/eV/f.u.
M_tot   0.203 μB per atom



[15]
Here is crystalline Cr2ReSi at its relaxed geometry from Alexandria. Energies are from GGA-PBE.

a = 2.7156 Å, b = 2.7156 Å, c = 24.3423 Å
α = 90.00°, β = 90.00°, γ = 120.00°
With the nearest neighbours (Å) after each atom.
Space group R3m (No. 160, hexagonal axes)
Inequivalent atoms, fractional coordinates:
Cr1 0.0000 0.0000 0.0000 (multiplicity 3)  9 Cr 2.47-2.72, 3 Re 2.63
Cr2 0.0000 0.0000 0.2547 (multiplicity 3)  9 Cr 2.47-2.72, 3 Si 2.50
Re1 0.0000 0.0000 0.7532 (multiplicity 3)  3 Cr 2.63, 3 Si 2.66, 6 Re 2.72
Si1 0.0000 0.0000 0.5080 (multiplicity 3)  3 Cr 2.50, 3 Re 2.66, 6 Si 2.72

## Properties
Uncorrected formation energy   0.1508 eV per atom
Density   10.20 g/cm³
D(E_F)   5.2 states/eV/f.u.
M_tot   0.000 μB per atom